The following is a DFT calculation (meta-GGA SCAN) of a crystal of KCuCl2 relaxed with PBEsol.

- final energy (eV/atom) = -10.79
- space-group type = Fm-3m (225)
- size of the total moment (μB per formula unit) = 0.1
- formation energy from raw total energies (eV/atom) = -0.91
- energy relative to the lowest polymorph listed for this composition (eV per atom) = 0.380

a = 4.847 Å, b = 4.847 Å, c = 4.847 Å
α = 60.00°, β = 60.00°, γ = 60.00°
Sites, in units of the cell vectors:
1 K 0.000 0.000 0.000
2 Cu 0.500 0.500 0.500
3 Cl 0.250 0.250 0.250
4 Cl 0.750 0.750 0.750

---

The following is a DFT calculation (meta-GGA SCAN) of a crystal of Sc7NCl12 relaxed with PBEsol.

- final energy (eV/atom) = -12.41
- space-group type = R-3 (148)
- N(E_F) (states/eV per cell) = 7.54
- size of the total moment (μB per formula unit) = 0.0
- formation energy from raw total energies (eV/atom) = -2.17

a = 7.939 Å, b = 7.939 Å, c = 7.939 Å
α = 107.66°, β = 107.66°, γ = 107.66°
Sites, in units of the cell vectors:
1 Sc 0.000 0.000 0.000
2 Sc 0.197 0.399 0.470
3 Sc 0.399 0.470 0.197
4 Sc 0.470 0.197 0.399
5 Sc 0.530 0.803 0.601
6 Sc 0.601 0.530 0.803
7 Sc 0.803 0.601 0.530
8 N 0.500 0.500 0.500
9 Cl 0.036 0.347 0.116
10 Cl 0.116 0.036 0.347
11 Cl 0.188 0.726 0.578
12 Cl 0.274 0.422 0.812
13 Cl 0.347 0.116 0.036
14 Cl 0.422 0.812 0.274
15 Cl 0.578 0.188 0.726
16 Cl 0.653 0.884 0.964
17 Cl 0.726 0.578 0.188
18 Cl 0.812 0.274 0.422
19 Cl 0.884 0.964 0.653
20 Cl 0.964 0.653 0.884

---

The following is a DFT calculation (meta-GGA SCAN) of a crystal of TcSb4Cl relaxed with PBEsol.

- final energy (eV/atom) = -31.33
- space-group type = F-43m (216)
- N(E_F) (states/eV per cell) = 2.89
- size of the total moment (μB per formula unit) = 4.2
- formation energy from raw total energies (eV/atom) = 0.68

a = 6.048 Å, b = 6.048 Å, c = 6.048 Å
α = 60.00°, β = 60.00°, γ = 60.00°
Sites, in units of the cell vectors:
1 Tc 0.000 0.000 0.000
2 Sb 0.132 0.623 0.623
3 Sb 0.623 0.132 0.623
4 Sb 0.623 0.623 0.132
5 Sb 0.623 0.623 0.623
6 Cl 0.250 0.250 0.250

---

The following is a DFT calculation (meta-GGA SCAN) of a crystal of PHI3 relaxed with PBEsol.

- final energy (eV/atom) = -24.19
- space-group type = Pm-3m (221)
- N(E_F) (states/eV per cell) = 1.86
- size of the total moment (μB per formula unit) = 1.0

a = 5.435 Å, b = 5.435 Å, c = 5.435 Å
α = 90.00°, β = 90.00°, γ = 90.00°
Sites, in units of the cell vectors:
1 P 0.000 0.000 0.000
2 H 0.500 0.500 0.500
3 I 0.000 0.000 0.500
4 I 0.000 0.500 0.000
5 I 0.500 0.000 0.000